Entry from Alexandria: Pt2Rh after structural relaxation (PBE).

As for the density: 15.15 Mg/m³. For the energy relative to the elements, the calculation gives 0.481 eV/atom.

It has space group Fm-3m (No. 225), with a = 6.0015 Å, b = 6.0015 Å, c = 6.0015 Å, α = 90.00°, β = 90.00° and γ = 90.00°. Symmetry generates all atoms from Pt at (0.2500, 0.2500, 0.2500) and Rh at (0.0000, 0.0000, 0.0000).